## FePb2Cl (GGA-PBE)

Data for crystalline FePb2Cl at its relaxed geometry.

Results
DOS(E_F) ... 0.8970 states/eV/atom
Mass density ... 8743 kg/m³
Formation energy (no corrections) ... 0.5 eV per formula unit
Polymorph energy (0 for the lowest one) ... 161 meV/atom
Crystal system ... monoclinic

abc: 5.045 3.308 6.572
angles: 61.14 90.00 90.00
Each line ends with the local moment (μB).
Fractional positions:
Fe1 0.500 0.613 0.874  2.73
Cl1 0.000 0.647 0.376  -0.03
Pb1 0.000 0.095 0.875  -0.07
Pb2 0.500 0.145 0.375  -0.08


## FePbCl4 (GGA-PBE)

Data for crystalline FePbCl4 at its relaxed geometry.

Results
DOS(E_F) ... 1.9354 states/eV/atom
Mass density ... 4542 kg/m³
Formation energy (no corrections) ... 3.4 eV per formula unit
Polymorph energy (0 for the lowest one) ... 1417 meV/atom
Crystal system ... cubic

abc: 5.937 5.937 5.937
angles: 60.00 60.00 60.00
Each line ends with the local moment (μB).
Fractional positions:
Pb1 0.000 0.000 0.000  -0.02
Cl1 0.376 0.873 0.376  0.33
Cl2 0.376 0.376 0.376  0.33
Cl3 0.873 0.376 0.376  0.33
Fe1 0.750 0.750 0.750  3.41
Cl4 0.376 0.376 0.873  0.33


## FePbCl2 (GGA-PBE)

Data for crystalline FePbCl2 at its relaxed geometry.

Results
DOS(E_F) ... 0.7471 states/eV/atom
Mass density ... 5505 kg/m³
Formation energy (no corrections) ... -1.2 eV per formula unit
Polymorph energy (0 for the lowest one) ... 145 meV/atom
Crystal system ... monoclinic

abc: 6.003 6.003 5.533
angles: 70.12 70.12 32.70
Each line ends with the local moment (μB).
Fractional positions:
Cl1 0.592 0.592 0.433  0.06
Pb1 0.750 0.750 0.750  -0.06
Fe1 0.250 0.250 0.250  3.01
Cl2 0.908 0.908 0.067  0.06


## FePbCl2 (GGA-PBE)

Data for crystalline FePbCl2 at its relaxed geometry.

Results
DOS(E_F) ... 0.6332 states/eV/atom
Mass density ... 6077 kg/m³
Formation energy (no corrections) ... 0.4 eV per formula unit
Polymorph energy (0 for the lowest one) ... 540 meV/atom
Crystal system ... cubic

abc: 5.054 5.054 5.054
angles: 60.00 60.00 60.00
Each line ends with the local moment (μB).
Fractional positions:
Pb1 0.500 0.500 0.500  -0.02
Cl1 0.250 0.250 0.250  0.06
Fe1 0.000 0.000 0.000  3.19
Cl2 0.750 0.750 0.750  0.06


The lowest mass density belongs to which entry?
FePbCl4


Among the records above, which one has the lowest formation energy (no corrections)?
number 3


DOS(E_F) of number 1 (FePb2Cl)?
0.8970 states/eV/atom